RbCd3Ga | PBE | optimized geometry

a = 6.4893 Å, b = 6.4893 Å, c = 6.4893 Å
α = 90.00°, β = 90.00°, γ = 90.00°
With the nearest neighbours (Å) after each atom.
Positions (direct):
Rb: 0.0000 0.0000 0.0000  6 Cd 3.24
Cd: 0.0000 0.0000 0.5000  2 Rb 3.24
Cd: 0.0000 0.5000 0.0000  2 Rb 3.24
Cd: 0.5000 0.0000 0.0000  2 Rb 3.24
Ga: 0.5000 0.5000 0.5000  12 Cd 4.59

Properties
VASP energy   -0.553 eV/atom



RbCd7Ga5 | PBE | optimized geometry

a = 7.7985 Å, b = 7.7985 Å, c = 7.7985 Å
α = 137.00°, β = 98.13°, γ = 97.31°
With the nearest neighbours (Å) after each atom.
Positions (direct):
Rb: 0.0000 0.0000 0.0000  10 Cd 3.58-3.68, 10 Ga 3.68-3.96
Cd: 0.2219 0.5046 0.7173  5 Ga 2.96-3.25, 5 Cd 3.15-3.27
Cd: 0.2220 0.7220 0.5000  4 Ga 2.98, 6 Cd 3.15-3.26
Cd: 0.3556 0.0025 0.3531  4 Cd 3.00-3.26, 5 Ga 3.13-3.18
Cd: 0.3569 0.3569 0.0000  5 Cd 3.04-3.27, 4 Ga 3.14
Cd: 0.6494 0.0025 0.6469  4 Cd 3.00-3.26, 5 Ga 3.13-3.18
Cd: 0.6524 0.6524 0.0000  3 Cd 3.04-3.27, 6 Ga 3.08-3.12
Cd: 0.7874 0.5046 0.2827  5 Ga 2.96-3.25, 5 Cd 3.15-3.27
Ga: 0.0010 0.0058 0.4972  3 Ga 2.85-2.90, 7 Cd 2.96-3.14
Ga: 0.0010 0.5037 0.9951  3 Ga 2.85-2.90, 7 Cd 2.96-3.14
Ga: 0.5086 0.0058 0.0049  3 Ga 2.85-2.90, 7 Cd 2.96-3.14
Ga: 0.5086 0.5037 0.5028  3 Ga 2.85-2.90, 7 Cd 2.96-3.14
Ga: 0.7743 0.2743 0.5000  4 Ga 2.90, 4 Cd 3.12-3.18

Properties
VASP energy   -1.730 eV/atom



RbCdGa2 | PBE | optimized geometry

a = 7.2537 Å, b = 7.2537 Å, c = 7.2537 Å
α = 37.74°, β = 37.74°, γ = 37.74°
With the nearest neighbours (Å) after each atom.
Positions (direct):
Rb: 0.0000 0.0000 0.0000  8 Ga 3.76-4.11
Cd: 0.5000 0.5000 0.5000  6 Ga 2.81
Ga: 0.2038 0.2038 0.2038  3 Cd 2.81, 3 Ga 3.10
Ga: 0.7962 0.7962 0.7962  3 Cd 2.81, 3 Ga 3.10

Properties
VASP energy   -1.996 eV/atom



RbCd9Ga2 | PBE | optimized geometry

a = 9.4206 Å, b = 9.4206 Å, c = 9.4206 Å
α = 100.28°, β = 100.28°, γ = 130.02°
With the nearest neighbours (Å) after each atom.
Positions (direct):
Rb: 0.3750 0.6250 0.7500  18 Cd 3.71-3.98
Rb: 0.6250 0.3750 0.2500  18 Cd 3.71-3.98
Cd: 0.1250 0.8750 0.2500  4 Ga 3.18, 8 Cd 3.24
Cd: 0.1263 0.5548 0.3285  2 Ga 2.93-3.03, 6 Cd 2.94-3.24
Cd: 0.1263 0.7979 0.5716  2 Ga 2.93-3.03, 6 Cd 2.94-3.24
Cd: 0.2021 0.2737 0.3285  2 Ga 2.93-3.03, 6 Cd 2.94-3.24
Cd: 0.2021 0.8737 0.9284  2 Ga 2.93-3.03, 6 Cd 2.94-3.24
Cd: 0.2737 0.2021 0.8285  2 Ga 2.93-3.03, 6 Cd 2.94-3.24
Cd: 0.2737 0.4452 0.0716  2 Ga 2.93-3.03, 6 Cd 2.94-3.24
Cd: 0.4452 0.2737 0.5716  2 Ga 2.93-3.03, 6 Cd 2.94-3.24
Cd: 0.4452 0.8737 0.1715  2 Ga 2.93-3.03, 6 Cd 2.94-3.24
Cd: 0.5548 0.1263 0.8285  2 Ga 2.93-3.03, 6 Cd 2.94-3.24
Cd: 0.5548 0.7263 0.4284  2 Ga 2.93-3.03, 6 Cd 2.94-3.24
Cd: 0.7263 0.5548 0.9284  2 Ga 2.93-3.03, 6 Cd 2.94-3.24
Cd: 0.7263 0.7979 0.1715  2 Ga 2.93-3.03, 6 Cd 2.94-3.24
Cd: 0.7979 0.1263 0.0716  2 Ga 2.93-3.03, 6 Cd 2.94-3.24
Cd: 0.7979 0.7263 0.6715  2 Ga 2.93-3.03, 6 Cd 2.94-3.24
Cd: 0.8737 0.2021 0.4284  2 Ga 2.93-3.03, 6 Cd 2.94-3.24
Cd: 0.8737 0.4452 0.6715  2 Ga 2.93-3.03, 6 Cd 2.94-3.24
Cd: 0.8750 0.1250 0.7500  4 Ga 3.18, 8 Cd 3.24
Ga: 0.0000 0.0000 0.0000  10 Cd 2.93-3.18
Ga: 0.0000 0.0000 0.5000  10 Cd 2.93-3.18
Ga: 0.0000 0.5000 0.0000  10 Cd 2.93-3.18
Ga: 0.5000 0.0000 0.5000  10 Cd 2.93-3.18

Properties
VASP energy   -1.312 eV/atom



Rb3Cd4Ga2 | PBE | optimized geometry

a = 7.1767 Å, b = 7.1767 Å, c = 10.1993 Å
α = 109.04°, β = 109.04°, γ = 39.54°
With the nearest neighbours (Å) after each atom.
Positions (direct):
Rb: 0.0000 0.0000 0.0000  8 Cd 3.82-4.24, 2 Ga 4.02
Rb: 0.3780 0.3780 0.6284  6 Cd 3.72-3.94, 4 Ga 3.85-4.12
Rb: 0.6220 0.6220 0.3716  6 Cd 3.72-3.94, 4 Ga 3.85-4.12
Cd: 0.0894 0.0894 0.6407  2 Ga 2.87, 2 Cd 3.04-3.10
Cd: 0.2685 0.2685 0.9302  3 Ga 2.91, 3 Cd 2.94-3.10
Cd: 0.7315 0.7315 0.0698  3 Ga 2.91, 3 Cd 2.94-3.10
Cd: 0.9106 0.9106 0.3593  2 Ga 2.87, 2 Cd 3.04-3.10
Ga: 0.3097 0.3097 0.2296  5 Cd 2.87-2.91
Ga: 0.6903 0.6903 0.7704  5 Cd 2.87-2.91

Properties
VASP energy   -1.445 eV/atom



Rb2Cd3Ga | PBE | optimized geometry

a = 6.2299 Å, b = 6.9346 Å, c = 9.4137 Å
α = 90.00°, β = 90.00°, γ = 90.00°
With the nearest neighbours (Å) after each atom.
Positions (direct):
Rb: 0.2500 0.0000 0.1124  4 Rb 3.77-4.11, 8 Cd 3.81-3.98, 2 Ga 3.83
Rb: 0.2500 0.5000 0.3460  10 Cd 3.71-4.07, 3 Ga 3.83-4.11, 2 Rb 4.11
Rb: 0.7500 0.0000 0.8876  4 Rb 3.77-4.11, 8 Cd 3.81-3.98, 2 Ga 3.83
Rb: 0.7500 0.5000 0.6540  10 Cd 3.71-4.07, 3 Ga 3.83-4.11, 2 Rb 4.11
Cd: 0.0000 0.0000 0.5000  6 Cd 3.05-3.11
Cd: 0.2500 0.2245 0.7234  1 Ga 2.78, 3 Cd 3.05-3.11
Cd: 0.2500 0.7755 0.7234  1 Ga 2.78, 3 Cd 3.05-3.11
Cd: 0.5000 0.0000 0.5000  6 Cd 3.05-3.11
Cd: 0.7500 0.2245 0.2766  1 Ga 2.78, 3 Cd 3.05-3.11
Cd: 0.7500 0.7755 0.2766  1 Ga 2.78, 3 Cd 3.05-3.11
Ga: 0.2500 0.5000 0.9386  2 Cd 2.78
Ga: 0.7500 0.5000 0.0614  2 Cd 2.78

Properties
VASP energy   -1.316 eV/atom



RbCdGa3 | PBE | optimized geometry

a = 5.4262 Å, b = 5.4262 Å, c = 5.4262 Å
α = 90.00°, β = 90.00°, γ = 90.00°
With the nearest neighbours (Å) after each atom.
Positions (direct):
Rb: 0.0000 0.0000 0.0000  12 Ga 3.84
Cd: 0.5000 0.5000 0.5000  6 Ga 2.71
Ga: 0.0000 0.5000 0.5000  2 Cd 2.71
Ga: 0.5000 0.0000 0.5000  2 Cd 2.71
Ga: 0.5000 0.5000 0.0000  2 Cd 2.71

Properties
VASP energy   -1.906 eV/atom



RbCdGa | PBE | optimized geometry

a = 4.8183 Å, b = 4.8183 Å, c = 5.4496 Å
α = 90.00°, β = 90.00°, γ = 120.00°
With the nearest neighbours (Å) after each atom.
Positions (direct):
Rb: 0.0000 0.0000 0.0000  6 Cd 3.89, 6 Ga 3.89
Cd: 0.6667 0.3333 0.5000  3 Ga 2.78
Ga: 0.3333 0.6667 0.5000  3 Cd 2.78

Properties
VASP energy   -1.600 eV/atom



RbCd3Ga2 | PBE | optimized geometry

a = 9.6510 Å, b = 9.6510 Å, c = 8.1266 Å
α = 114.03°, β = 114.03°, γ = 27.33°
With the nearest neighbours (Å) after each atom.
Positions (direct):
Rb: 0.0999 0.0999 0.1019  1 Rb 3.40, 2 Ga 3.49, 4 Cd 3.64-3.65
Rb: 0.9001 0.9001 0.8981  1 Rb 3.40, 2 Ga 3.49, 4 Cd 3.64-3.65
Cd: 0.0824 0.0824 0.5826  5 Ga 2.77-3.08, 1 Cd 2.81
Cd: 0.3226 0.3226 0.1316  4 Ga 2.85-3.01, 1 Cd 3.08
Cd: 0.3239 0.3239 0.5122  4 Ga 2.85-3.01, 3 Cd 3.08-3.17
Cd: 0.6761 0.6761 0.4878  4 Ga 2.85-3.01, 3 Cd 3.08-3.17
Cd: 0.6774 0.6774 0.8684  4 Ga 2.85-3.01, 1 Cd 3.08
Cd: 0.9176 0.9176 0.4174  5 Ga 2.77-3.08, 1 Cd 2.81
Ga: 0.2450 0.2450 0.7453  7 Cd 2.77-3.00
Ga: 0.4993 0.4993 0.3168  1 Ga 2.97, 6 Cd 3.01-3.08
Ga: 0.5007 0.5007 0.6832  1 Ga 2.97, 6 Cd 3.01-3.08
Ga: 0.7550 0.7550 0.2547  7 Cd 2.77-3.00

Properties
VASP energy   -1.658 eV/atom



Rb3Cd4Ga | PBE | optimized geometry

a = 7.6063 Å, b = 7.6063 Å, c = 7.6063 Å
α = 128.69°, β = 118.11°, γ = 84.48°
With the nearest neighbours (Å) after each atom.
Positions (direct):
Rb: 0.0000 0.0000 0.0000  2 Ga 4.11, 10 Cd 4.19-4.37, 6 Rb 4.22-4.34
Rb: 0.4090 0.6544 0.7546  7 Cd 3.77-3.83, 4 Rb 3.84-4.22, 2 Ga 3.84
Rb: 0.8997 0.6544 0.2454  7 Cd 3.77-3.83, 4 Rb 3.84-4.22, 2 Ga 3.84
Cd: 0.0166 0.3167 0.6999  1 Ga 2.80, 3 Cd 3.05-3.13
Cd: 0.4065 0.1542 0.7477  1 Ga 2.82, 2 Cd 3.05
Cd: 0.4065 0.6588 0.2523  1 Ga 2.82, 2 Cd 3.05
Cd: 0.6168 0.3167 0.3001  1 Ga 2.80, 3 Cd 3.05-3.13
Ga: 0.6109 0.1109 0.5000  4 Cd 2.80-2.82

Properties
VASP energy   -1.228 eV/atom



RbCdGa2 | PBE | optimized geometry

a = 7.7051 Å, b = 4.4766 Å, c = 13.7469 Å
α = 90.00°, β = 90.00°, γ = 90.00°
With the nearest neighbours (Å) after each atom.
Positions (direct):
Rb: 0.2328 0.2500 0.2090  7 Ga 3.62-3.88, 4 Cd 3.88-4.04, 2 Rb 4.01
Rb: 0.2672 0.7500 0.7090  7 Ga 3.62-3.88, 4 Cd 3.88-4.04, 2 Rb 4.01
Rb: 0.7328 0.2500 0.2910  7 Ga 3.62-3.88, 4 Cd 3.88-4.04, 2 Rb 4.01
Rb: 0.7672 0.7500 0.7910  7 Ga 3.62-3.88, 4 Cd 3.88-4.04, 2 Rb 4.01
Cd: 0.0574 0.7500 0.4329  4 Ga 2.85-2.92, 2 Cd 3.03
Cd: 0.4426 0.2500 0.9329  4 Ga 2.85-2.92, 2 Cd 3.03
Cd: 0.5574 0.7500 0.0671  4 Ga 2.85-2.92, 2 Cd 3.03
Cd: 0.9426 0.2500 0.5671  4 Ga 2.85-2.92, 2 Cd 3.03
Ga: 0.0690 0.2500 0.9108  3 Ga 2.63-2.71, 1 Cd 2.89
Ga: 0.2175 0.7500 0.9853  3 Ga 2.63-2.71, 3 Cd 2.85-2.92
Ga: 0.2825 0.2500 0.4853  3 Ga 2.63-2.71, 3 Cd 2.85-2.92
Ga: 0.4310 0.7500 0.4108  3 Ga 2.63-2.71, 1 Cd 2.89
Ga: 0.5690 0.2500 0.5892  3 Ga 2.63-2.71, 1 Cd 2.89
Ga: 0.7175 0.7500 0.5147  3 Ga 2.63-2.71, 3 Cd 2.85-2.92
Ga: 0.7825 0.2500 0.0147  3 Ga 2.63-2.71, 3 Cd 2.85-2.92
Ga: 0.9310 0.7500 0.0892  3 Ga 2.63-2.71, 1 Cd 2.89

Properties
VASP energy   -2.047 eV/atom



RbCd6Ga2 | PBE | optimized geometry

a = 4.5944 Å, b = 4.5944 Å, c = 10.4989 Å
α = 90.00°, β = 90.00°, γ = 90.00°
With the nearest neighbours (Å) after each atom.
Positions (direct):
Rb: 0.0000 0.0000 0.0000  8 Ga 3.54, 8 Cd 3.83
Cd: 0.0000 0.0000 0.5000  12 Cd 3.17-3.25
Cd: 0.0000 0.5000 0.2924  2 Ga 2.83, 4 Cd 3.17
Cd: 0.0000 0.5000 0.7076  2 Ga 2.83, 4 Cd 3.17
Cd: 0.5000 0.0000 0.2924  2 Ga 2.83, 4 Cd 3.17
Cd: 0.5000 0.0000 0.7076  2 Ga 2.83, 4 Cd 3.17
Cd: 0.5000 0.5000 0.5000  12 Cd 3.17-3.25
Ga: 0.5000 0.5000 0.1341  1 Ga 2.82, 4 Cd 2.83
Ga: 0.5000 0.5000 0.8659  1 Ga 2.82, 4 Cd 2.83

Properties
VASP energy   -1.425 eV/atom



In order of appearance, spin magnetization = 0.00; 0.00; 0.00; 0.00; 0.00; 0.00; 0.00; 0.00; 0.00; 0.00; 0.00; 0.00 μB/f.u..